A plane-wave DFT calculation with PBE was carried out for a relaxed structure of Ce3HoHg4.

a = 3.701 Å, b = 3.701 Å, c = 15.931 Å
α = 90.00°, β = 90.00°, γ = 90.00°
Fractional coordinates of all 8 atoms:
Ce: 0.000 0.000 0.000
Ce: 0.000 0.000 0.256
Ce: 0.000 0.000 0.744
Ho: 0.000 0.000 0.500
Hg: 0.500 0.500 0.128
Hg: 0.500 0.500 0.388
Hg: 0.500 0.500 0.612
Hg: 0.500 0.500 0.872

Results
size of the total moment: 4.34 Bohr magnetons per cell
calculated volume: 27.27 Å³ per atom
electronic total energy: -3.28 eV/atom
formation energy: -0.3351 eV/atom

=====

A plane-wave DFT calculation with PBE was carried out for a relaxed structure of Te2SI.

a = 3.905 Å, b = 3.905 Å, c = 28.831 Å
α = 90.00°, β = 90.00°, γ = 120.00°
Fractional coordinates of all 12 atoms:
Te: 0.000 0.000 0.104
Te: 0.000 0.000 0.896
Te: 0.333 0.667 0.562
Te: 0.333 0.667 0.771
Te: 0.667 0.333 0.229
Te: 0.667 0.333 0.438
S: 0.000 0.000 0.500
S: 0.333 0.667 0.167
S: 0.667 0.333 0.833
I: 0.000 0.000 0.000
I: 0.333 0.667 0.667
I: 0.667 0.333 0.333

Results
energy above the lowest structure with this stoichiometry: 0 kJ/mol of formula units
size of the total moment: 0.00 Bohr magnetons per cell
ΔE_f (raw): 0.32 eV/atom
calculated volume: 31.73 Å³ per atom
electronic total energy: -2.67 eV/atom

=====

Q: Look up the electronic total energy of the first one.
A: -3.28 eV/atom

=====

Q: Look up the electronic total energy of the second one.
A: -2.67 eV/atom

=====

Q: What is the calculated volume in the first record?
A: 27.27 Å³ per atom

=====

Q: Look up the electronic total energy of the second one.
A: -2.67 eV/atom